1.
DFT (PBE) results for SiRhOF2 after structural relaxation.

Geometry as CIF:
```
data_SiRhOF2
_chemical_formula_sum 'Si1 Rh1 O1 F2'
_space_group_name_H-M_alt 'P 4/m m m'
_space_group_IT_number 123
_space_group_name_Hall '-P 4 2'
_cell_length_a 4.2330
_cell_length_b 4.2330
_cell_length_c 3.3199
_cell_angle_alpha 90.00
_cell_angle_beta 90.00
_cell_angle_gamma 90.00
loop_
_atom_site_label
_atom_site_fract_x
_atom_site_fract_y
_atom_site_fract_z
_atom_site_occupancy
Si1 0.0000 0.0000 0.0000 1
Rh1 0.5000 0.5000 0.5000 1
O1 0.0000 0.0000 0.5000 1
F1 0.0000 0.5000 0.0000 1
```

Values from the calculation:
ΔE to the lowest computed polymorph: 0 meV per atom
formation energy from raw total energies: -927 meV per atom
raw total energy: -5.22 eV/atom

---

2.
DFT (PBE) results for Pr3Ge2Se after structural relaxation.

Geometry as CIF:
```
data_Pr3Ge2Se
_chemical_formula_sum 'Pr6 Ge4 Se2'
_space_group_name_H-M_alt 'I m m m'
_space_group_IT_number 71
_space_group_name_Hall '-I 2 2'
_cell_length_a 4.2745
_cell_length_b 6.0974
_cell_length_c 13.0627
_cell_angle_alpha 90.00
_cell_angle_beta 90.00
_cell_angle_gamma 90.00
loop_
_atom_site_label
_atom_site_fract_x
_atom_site_fract_y
_atom_site_fract_z
_atom_site_occupancy
Pr1 0.0000 0.0000 0.0000 1
Pr2 0.0000 0.0000 0.3340 1
Ge1 0.0000 0.5000 0.3363 1
Se1 0.0000 0.5000 0.0000 1
```

Values from the calculation:
formation energy from raw total energies: -1171 meV per atom
raw total energy: -5.68 eV/atom

---

3.
DFT (PBE) results for Ac5Hg2Rh after structural relaxation.

Geometry as CIF:
```
data_Ac5Hg2Rh
_chemical_formula_sum 'Ac10 Hg4 Rh2'
_space_group_name_H-M_alt 'P b a m'
_space_group_IT_number 55
_cell_length_a 10.1207
_cell_length_b 13.2530
_cell_length_c 4.3187
_cell_angle_alpha 90.00
_cell_angle_beta 90.00
_cell_angle_gamma 90.00
loop_
_space_group_symop_operation_xyz
'x,y,z'
'-x,-y,-z'
'-x,-y,z'
'x,y,-z'
'x+1/2,-y+1/2,-z'
'-x+1/2,y+1/2,z'
'-x+1/2,y+1/2,-z'
'x+1/2,-y+1/2,z'
loop_
_atom_site_label
_atom_site_fract_x
_atom_site_fract_y
_atom_site_fract_z
_atom_site_occupancy
Ac1 0.0000 0.0000 0.0000 1
Ac2 0.1315 0.2971 0.0000 1
Ac3 0.1766 0.5689 0.5000 1
Hg1 0.0942 0.8226 0.5000 1
Rh1 0.0000 0.5000 0.0000 1
```

Values from the calculation:
E_form: -0.45 eV/atom
raw total energy: -4.01 eV/atom

---

4.
DFT (PBE) results for Tm2ZrSc after structural relaxation.

Geometry as CIF:
```
data_Tm2ZrSc
_chemical_formula_sum 'Tm2 Zr1 Sc1'
_space_group_name_H-M_alt 'P 1 2/m 1'
_space_group_IT_number 10
_cell_length_a 4.6851
_cell_length_b 3.3636
_cell_length_c 6.7218
_cell_angle_alpha 90.00
_cell_angle_beta 90.07
_cell_angle_gamma 90.00
loop_
_space_group_symop_operation_xyz
'x,y,z'
'-x,-y,-z'
'-x,y,-z'
'x,-y,z'
loop_
_atom_site_label
_atom_site_fract_x
_atom_site_fract_y
_atom_site_fract_z
_atom_site_occupancy
Tm1 0.0006 0.0000 0.2419 1
Zr1 0.5000 0.5000 0.0000 1
Sc1 0.5000 0.5000 0.5000 1
```

Values from the calculation:
ΔE to the lowest computed polymorph: 2 meV per atom
E_form: 0.06 eV/atom
raw total energy: -5.89 eV/atom

---

Q: Number 3 is which compound?
A: Ac5Hg2Rh